Here is crystalline Li2SmOsO6 at its relaxed geometry from the Alexandria database. Energies are from PBE.

Calculated values
Raw total energy in eV/atom: -6.83
E_form (uncorrected) in meV per atom: -1880
Total moment in μB per atom: 0.054
Density in g/cm3: 6.32

a b c (Å): 5.380 5.573 9.537
angles (deg): 90.00 124.07 90.00
Space group P2_1/c (No. 14)
One atom of each set of equivalent atoms:
Li (0.221, 0.016, 0.239) (multiplicity 4)
Sm (0.000, 0.000, 0.500) (multiplicity 2)
Os (0.500, 0.000, 0.000) (multiplicity 2)
O (0.155, 0.075, 0.777) (multiplicity 4)
O (0.250, 0.644, 0.557) (multiplicity 4)
O (0.449, 0.201, 0.577) (multiplicity 4)